The following is a DFT calculation (PBE) of a geometry-optimized GePdAu structure.

Properties
Symmetry: Cmcm
DOS(E_F) in states/eV/cell: 2.45
Energy relative to the elements in eV/f.u.: -0.09
Polymorph energy (0 for the lowest one) in meV/atom: 151

a b c (Å): 2.8809 3.0336 12.8315
angles (deg): 83.21 90.00 90.00
Last column: nearest neighbours and their distance in Å.
Positions (direct):
Pd1 0.7500 0.9536 0.0927  2 Ge 2.43
Pd2 0.2500 0.0464 0.9073  2 Ge 2.43
Au1 0.7500 0.7082 0.5836  2 Ge 2.65, 2 Au 2.88
Au2 0.2500 0.2918 0.4164  2 Ge 2.65, 2 Au 2.88
Ge1 0.7500 0.3792 0.2416  2 Pd 2.43, 2 Au 2.65
Ge2 0.2500 0.6208 0.7584  2 Pd 2.43, 2 Au 2.65